Arrangement a

Compound: TlCo2Ir
Source: Alexandria via LeMat-Bulk
Functional: PBE
Structure: relaxed

Unit cell a=4.3884 b=4.3884 c=4.3884 alpha=60.00 beta=60.00 gamma=60.00
Closest atoms and distances in Å follow each position.
Element x y z (fractional)
Tl 0.0000 0.0000 0.0000  4 Co 2.69, 4 Ir 2.69
Co 0.2500 0.2500 0.2500  4 Tl 2.69, 4 Co 2.69
Co 0.5000 0.5000 0.5000  4 Co 2.69, 4 Ir 2.69
Ir 0.7500 0.7500 0.7500  4 Co 2.69, 4 Tl 2.69

Properties
Its spin magnetization is 3.458 μB per cell.


Arrangement b

Compound: TlCo2Ir
Source: Alexandria via LeMat-Bulk
Functional: PBE
Structure: relaxed

Unit cell a=3.9269 b=3.9269 c=3.8304 alpha=90.00 beta=90.00 gamma=90.00
Closest atoms and distances in Å follow each position.
Element x y z (fractional)
Tl 0.0000 0.0000 0.0000  8 Co 2.74, 4 Ir 2.78
Co 0.0000 0.5000 0.5000  4 Ir 2.74, 4 Tl 2.74, 4 Co 2.78
Co 0.5000 0.0000 0.5000  4 Ir 2.74, 4 Tl 2.74, 4 Co 2.78
Ir 0.5000 0.5000 0.0000  8 Co 2.74, 4 Tl 2.78

Properties
Its spin magnetization is 3.635 μB per cell.


Arrangement c

Compound: TlCo2Ir
Source: Alexandria via LeMat-Bulk
Functional: PBE
Structure: relaxed

Unit cell a=4.0759 b=5.3005 c=5.3005 alpha=31.36 beta=90.00 gamma=90.00
Closest atoms and distances in Å follow each position.
Element x y z (fractional)
Tl 0.0000 0.0000 0.0000  7 Co 2.65-2.84, 2 Tl 2.86
Co 0.0000 0.7399 0.7399  2 Co 2.37, 1 Tl 2.65
Co 0.5000 0.6212 0.6212  2 Co 2.37, 2 Ir 2.62
Ir 0.5000 0.3362 0.3362  7 Co 2.62-2.91, 2 Ir 2.86

Properties
Its spin magnetization is 3.813 μB per cell.


Arrangement d

Compound: TlCo2Ir
Source: Alexandria via LeMat-Bulk
Functional: PBE
Structure: relaxed

Unit cell a=4.3603 b=4.3603 c=4.3603 alpha=60.00 beta=60.00 gamma=60.00
Closest atoms and distances in Å follow each position.
Element x y z (fractional)
Tl 0.0000 0.0000 0.0000  8 Co 2.67
Co 0.2500 0.2500 0.2500  4 Tl 2.67, 4 Ir 2.67
Co 0.7500 0.7500 0.7500  4 Tl 2.67, 4 Ir 2.67
Ir 0.5000 0.5000 0.5000  8 Co 2.67

Properties
Its spin magnetization is 3.505 μB per cell.


Least stable: arrangement a


Arrangement a

Compound: TlCo2Ir
Source: Alexandria via LeMat-Bulk
Functional: PBE
Structure: relaxed

Unit cell a=4.7132 b=4.7132 c=4.6913 alpha=102.98 beta=102.98 gamma=35.84
Closest atoms and distances in Å follow each position.
Element x y z (fractional)
Tl 0.0000 0.0000 0.0000  7 Co 2.69-2.79, 3 Ir 2.80-2.89, 2 Tl 2.90
Co 0.4892 0.4892 0.4894  2 Co 2.52, 3 Ir 2.60-2.69, 4 Tl 2.74-2.78
Co 0.7628 0.7628 0.2583  2 Co 2.52, 2 Ir 2.56, 3 Tl 2.69-2.79
Ir 0.2315 0.2315 0.6892  5 Co 2.56-2.69, 1 Tl 2.80

Properties
Its spin magnetization is 3.594 μB per cell.


Arrangement b

Compound: TlCo2Ir
Source: Alexandria via LeMat-Bulk
Functional: PBE
Structure: relaxed

Unit cell a=4.5342 b=4.5342 c=2.8833 alpha=90.00 beta=90.00 gamma=101.12
Closest atoms and distances in Å follow each position.
Element x y z (fractional)
Tl 0.0000 0.0000 0.0000  8 Co 2.69, 2 Ir 2.88, 2 Tl 2.88
Co 0.0000 0.5000 0.5000  4 Ir 2.69, 4 Tl 2.69, 4 Co 2.88
Co 0.5000 0.0000 0.5000  4 Ir 2.69, 4 Tl 2.69, 4 Co 2.88
Ir 0.5000 0.5000 0.0000  8 Co 2.69, 2 Tl 2.88, 2 Ir 2.88

Properties
Its spin magnetization is 3.044 μB per cell.


Least stable: arrangement b


Arrangement a

Compound: TlCo2Ir
Source: Alexandria via LeMat-Bulk
Functional: PBE
Structure: relaxed

Unit cell a=2.9725 b=2.9725 c=6.7661 alpha=90.00 beta=90.00 gamma=90.00
Closest atoms and distances in Å follow each position.
Element x y z (fractional)
Tl 0.0000 0.0000 0.0000  5 Co 2.87-3.18, 4 Ir 2.96, 4 Tl 2.97
Co 0.0000 0.0000 0.4705  4 Co 2.44, 4 Ir 2.58
Co 0.5000 0.5000 0.2879  4 Co 2.44
Ir 0.5000 0.5000 0.6922  5 Co 2.58-2.74

Properties
Its spin magnetization is 3.891 μB per cell.


Arrangement b

Compound: TlCo2Ir
Source: Alexandria via LeMat-Bulk
Functional: PBE
Structure: relaxed

Unit cell a=8.7491 b=8.7491 c=8.7491 alpha=18.82 beta=18.82 gamma=18.82
Closest atoms and distances in Å follow each position.
Element x y z (fractional)
Tl 0.0000 0.0000 0.0000  6 Co 2.83, 6 Tl 2.86
Co 0.2439 0.2439 0.2439  3 Ir 2.59, 3 Tl 2.83, 6 Co 2.86
Co 0.7561 0.7561 0.7561  3 Ir 2.59, 3 Tl 2.83, 6 Co 2.86
Ir 0.5000 0.5000 0.5000  6 Co 2.59, 6 Ir 2.86

Properties
Its spin magnetization is 3.778 μB per cell.


Least stable: arrangement b


Arrangement a

Compound: Tm6Co2Ir
Source: Alexandria via LeMat-Bulk
Functional: PBE
Structure: relaxed

Unit cell a=6.4353 b=7.0823 c=11.2762 alpha=90.00 beta=122.77 gamma=90.00
Closest atoms and distances in Å follow each position.
Element x y z (fractional)
Tm 0.0773 0.0517 0.2418  2 Co 2.66-2.71, 1 Ir 2.73
Tm 0.0773 0.4483 0.7418  2 Co 2.66-2.71, 1 Ir 2.73
Tm 0.2333 0.6708 0.0822  1 Ir 2.64, 2 Co 2.84-2.88
Tm 0.2333 0.8292 0.5822  1 Ir 2.64, 2 Co 2.84-2.88
Tm 0.3901 0.1657 0.0677  1 Co 2.69, 1 Ir 2.70
Tm 0.3901 0.3343 0.5677  1 Co 2.69, 1 Ir 2.70
Tm 0.6099 0.6657 0.4323  1 Co 2.69, 1 Ir 2.70
Tm 0.6099 0.8343 0.9323  1 Co 2.69, 1 Ir 2.70
Tm 0.7667 0.1708 0.4178  1 Ir 2.64, 2 Co 2.84-2.88
Tm 0.7667 0.3292 0.9178  1 Ir 2.64, 2 Co 2.84-2.88
Tm 0.9227 0.5517 0.2582  2 Co 2.66-2.71, 1 Ir 2.73
Tm 0.9227 0.9483 0.7582  2 Co 2.66-2.71, 1 Ir 2.73
Co 0.3154 0.1240 0.7791  5 Tm 2.66-2.88
Co 0.3154 0.3760 0.2791  5 Tm 2.66-2.88
Co 0.6846 0.6240 0.7209  5 Tm 2.66-2.88
Co 0.6846 0.8760 0.2209  5 Tm 2.66-2.88
Ir 0.5000 0.0000 0.5000  6 Tm 2.64-2.73
Ir 0.5000 0.5000 0.0000  6 Tm 2.64-2.73

Properties
Its spin magnetization is 0.000 μB per cell.


Arrangement b

Compound: Tm6Co2Ir
Source: Alexandria via LeMat-Bulk
Functional: PBE
Structure: relaxed

Unit cell a=8.0312 b=8.0312 c=8.0312 alpha=110.70 beta=109.80 gamma=107.93
Closest atoms and distances in Å follow each position.
Element x y z (fractional)
Tm 0.0154 0.8273 0.1881  3 Co 2.65-2.80
Tm 0.2545 0.5675 0.3130  1 Co 2.78, 2 Ir 2.88-2.95
Tm 0.2545 0.9415 0.6870  1 Co 2.78, 2 Ir 2.88-2.95
Tm 0.2644 0.3225 0.5869  3 Co 2.85-2.92, 1 Ir 2.93
Tm 0.2644 0.6775 0.9419  3 Co 2.85-2.92, 1 Ir 2.93
Tm 0.3609 0.1727 0.1881  3 Co 2.65-2.80
Tm 0.6391 0.8273 0.8119  3 Co 2.65-2.80
Tm 0.7356 0.3225 0.0581  3 Co 2.85-2.92, 1 Ir 2.93
Tm 0.7356 0.6775 0.4131  3 Co 2.85-2.92, 1 Ir 2.93
Tm 0.7455 0.0585 0.3130  1 Co 2.78, 2 Ir 2.88-2.95
Tm 0.7455 0.4325 0.6870  1 Co 2.78, 2 Ir 2.88-2.95
Tm 0.9846 0.1727 0.8119  3 Co 2.65-2.80
Co 0.0000 0.1611 0.1611  8 Tm 2.78-2.85, 1 Co 2.94, 1 Ir 3.10
Co 0.0000 0.8389 0.8389  8 Tm 2.78-2.85, 1 Co 2.94, 1 Ir 3.10
Co 0.3849 0.3849 0.0000  1 Co 2.17
Co 0.6151 0.6151 0.0000  1 Co 2.17
Ir 0.0000 0.5000 0.5000  8 Tm 2.93-2.95, 2 Co 3.10
Ir 0.5000 0.0000 0.5000  4 Tm 2.88

Properties
Its spin magnetization is 0.000 μB per cell.


Least stable: arrangement a


Arrangement a

Compound: Tm2CoIr
Source: Alexandria via LeMat-Bulk
Functional: PBE
Structure: relaxed

Unit cell a=4.7496 b=4.7496 c=3.3183 alpha=90.00 beta=90.00 gamma=90.00
Closest atoms and distances in Å follow each position.
Element x y z (fractional)
Tm 0.0000 0.5000 0.0000  4 Co 2.90, 4 Ir 2.90
Tm 0.5000 0.0000 0.0000  4 Co 2.90, 4 Ir 2.90
Co 0.0000 0.0000 0.5000  8 Tm 2.90
Ir 0.5000 0.5000 0.5000  8 Tm 2.90

Properties
Its spin magnetization is 0.454 μB per cell.


Arrangement b

Compound: Tm2CoIr
Source: Alexandria via LeMat-Bulk
Functional: PBE
Structure: relaxed

Unit cell a=4.7630 b=3.3028 c=9.4767 alpha=90.00 beta=90.00 gamma=90.00
Closest atoms and distances in Å follow each position.
Element x y z (fractional)
Tm 0.2500 0.0000 0.1200  6 Co 2.84-2.90, 2 Ir 2.91
Tm 0.2500 0.0000 0.6296  2 Co 2.86, 6 Ir 2.90-2.94
Tm 0.7500 0.0000 0.3704  2 Co 2.86, 6 Ir 2.90-2.94
Tm 0.7500 0.0000 0.8800  6 Co 2.84-2.90, 2 Ir 2.91
Co 0.2500 0.5000 0.8759  8 Tm 2.84-2.90
Co 0.7500 0.5000 0.1241  8 Tm 2.84-2.90
Ir 0.2500 0.5000 0.3729  8 Tm 2.90-2.94
Ir 0.7500 0.5000 0.6271  8 Tm 2.90-2.94

Properties
Its spin magnetization is 0.911 μB per cell.


Arrangement c

Compound: Tm2CoIr
Source: Alexandria via LeMat-Bulk
Functional: PBE
Structure: relaxed

Unit cell a=4.7291 b=4.7291 c=4.7291 alpha=60.00 beta=60.00 gamma=60.00
Closest atoms and distances in Å follow each position.
Element x y z (fractional)
Tm 0.2500 0.2500 0.2500  4 Ir 2.90, 4 Co 2.90
Tm 0.7500 0.7500 0.7500  4 Ir 2.90, 4 Co 2.90
Co 0.0000 0.0000 0.0000  8 Tm 2.90
Ir 0.5000 0.5000 0.5000  8 Tm 2.90

Properties
Its spin magnetization is 0.482 μB per cell.


Least stable: arrangement b